Compound: CaFePd3
Source: Alexandria via LeMat-Bulk
Functional: PBE
Structure: relaxed

a b c (Å): 4.845 4.845 4.845
angles (deg): 90.00 90.00 90.00
Positions (direct):
Ca 0.000 0.000 0.000
Fe 0.500 0.500 0.500
Pd 0.000 0.000 0.500
Pd 0.000 0.500 0.000
Pd 0.500 0.000 0.000

Properties
Volume in Å³ per atom: 22.745
Energy above the most stable polymorph in this dataset in eV/atom: 1.039
Symmetry: Pm-3m (221)
Formation energy from the elements in eV/atom: 1.09